No. 1
The following is a PBE-GGA calculation of a geometry-optimized TiHgSb2I structure, from the Alexandria database.

Summary:
As for the energy above the most stable polymorph in this dataset: 0.000 eV/f.u. Its total energy is -3.524 eV/atom. The formation energy without anion corrections is 0.074 eV per atom.

extended XYZ file:
```
5
Lattice="5.326 0.000 0.000 0.000 5.326 0.000 0.000 0.000 5.617" Properties=species:S:1:pos:R:3 pbc="T T T"
Ti 0.000 0.000 0.000
Hg 2.663 2.663 2.808
Sb 0.000 2.663 0.000
Sb 2.663 0.000 0.000
I 0.000 0.000 2.808
```

No. 2
The following is a PBE-GGA calculation of a geometry-optimized Ba2NaLiRh structure, from the Alexandria database.

Summary:
As for the energy above the most stable polymorph in this dataset: 0.000 eV/f.u. Its total energy is -2.922 eV/atom. The formation energy from the elements is -36 meV/atom.

extended XYZ file:
```
5
Lattice="6.026 0.000 0.000 0.000 6.026 0.000 0.000 0.000 5.218" Properties=species:S:1:pos:R:3 pbc="T T T"
Ba 0.000 3.013 0.000
Ba 3.013 0.000 0.000
Na 0.000 0.000 2.609
Li 3.013 3.013 2.609
Rh 3.013 3.013 0.000
```

No. 3
The following is a PBE-GGA calculation of a geometry-optimized Rb2CaCd2S4 structure, from the Alexandria database.

Summary:
Its total energy is -3.628 eV/atom. The formation energy without anion corrections is -1.152 eV per atom.

extended XYZ file:
```
9
Lattice="8.020 -2.109 0.000 8.020 2.109 0.000 -2.517 0.000 7.503" Properties=species:S:1:pos:R:3 pbc="T T T"
Rb 1.876 0.000 0.311
Rb 11.646 0.000 7.192
Ca -1.259 0.000 3.752
Cd 4.006 0.000 3.902
Cd 9.516 0.000 3.602
S 1.590 0.000 5.115
S 5.917 0.000 5.491
S 7.605 0.000 2.012
S 11.932 0.000 2.388
```

No. 4
The following is a PBE-GGA calculation of a geometry-optimized CaScB structure, from the Alexandria database.

Summary:
As for the energy above the most stable polymorph in this dataset: 0.644 eV/f.u. Its total energy is -5.023 eV/atom. The formation energy from the elements is -20 meV/atom.

extended XYZ file:
```
6
Lattice="5.958 0.000 0.000 0.000 3.445 0.000 -0.011 0.000 6.663" Properties=species:S:1:pos:R:3 pbc="T T T"
Ca 0.000 0.000 0.000
Ca 5.952 1.722 3.327
Sc 2.977 0.000 1.581
Sc 2.971 0.000 5.124
B 2.157 1.722 0.023
B 3.801 1.722 0.026
```

No. 5
The following is a PBE-GGA calculation of a geometry-optimized Tm5Tl2Bi2 structure, from the Alexandria database.

Summary:
As for the energy above the most stable polymorph in this dataset: 2.599 eV/f.u. Its total energy is -4.115 eV/atom. The formation energy from the elements is -243 meV/atom.

extended XYZ file:
```
18
Lattice="-8.923 4.061 3.787 8.923 -4.061 3.787 8.923 4.061 -3.787" Properties=species:S:1:pos:R:3 pbc="T T T"
Tm 1.218 1.794 0.000
Tm 7.705 1.794 0.000
Tm 2.800 -0.910 2.569
Tm 6.122 -0.910 2.569
Tm 6.122 4.971 -1.218
Tm 11.723 0.910 2.569
Tm 4.461 2.291 1.551
Tm 1.218 2.267 3.787
Tm 7.705 2.267 3.787
Tm 4.461 1.770 5.339
Tl 13.384 0.461 -0.040
Tl 0.000 0.000 2.123
Tl 8.923 0.000 2.123
Tl -4.461 3.599 3.747
Bi -1.774 3.659 1.697
Bi 1.774 -0.401 5.485
Bi 1.774 4.462 1.697
Bi 7.148 4.462 1.697
```

No. 6
The following is a PBE-GGA calculation of a geometry-optimized Sc3As structure, from the Alexandria database.

Summary:
Its total energy is -6.141 eV/atom. The formation energy from the elements is -230 meV/atom.

extended XYZ file:
```
4
Lattice="0.000 3.430 3.430 3.430 0.000 3.430 3.430 3.430 0.000" Properties=species:S:1:pos:R:3 pbc="T T T"
Sc 0.000 0.000 0.000
Sc 1.715 1.715 1.715
Sc 5.146 5.146 5.146
As 3.430 3.430 3.430
```

No. 7
The following is a PBE-GGA calculation of a geometry-optimized La2Pr3Ag4 structure, from the Alexandria database.

Summary:
Its total energy is -4.074 eV/atom. The formation energy from the elements is -119 meV/atom.

extended XYZ file:
```
18
Lattice="3.544 -9.473 0.000 3.544 9.473 0.000 0.000 0.000 7.955" Properties=species:S:1:pos:R:3 pbc="T T T"
La 3.544 7.658 7.347
La 3.544 1.815 3.370
La 3.544 -1.815 4.586
La 3.544 -7.658 0.608
Pr 0.000 0.000 3.978
Pr 1.772 4.610 5.966
Pr 1.772 -4.610 1.989
Pr 3.544 0.000 0.000
Pr 5.315 4.610 5.966
Pr 5.315 -4.610 1.989
Ag 3.544 6.445 4.093
Ag 1.772 1.449 5.966
Ag 1.772 -1.449 1.989
Ag 3.544 3.028 0.115
Ag 3.544 -3.028 7.840
Ag 5.315 1.449 5.966
Ag 5.315 -1.449 1.989
Ag 3.544 -6.445 3.862
```

No. 8
The following is a PBE-GGA calculation of a geometry-optimized Tb5CeTh4 structure, from the Alexandria database.

Summary:
Its total energy is -5.844 eV/atom. The formation energy from the elements is 32 meV/atom.

extended XYZ file:
```
10
Lattice="9.217 -1.784 0.000 9.217 1.784 0.000 -2.833 0.000 9.619" Properties=species:S:1:pos:R:3 pbc="T T T"
Tb 0.000 0.000 0.000
Tb 3.436 0.000 0.974
Tb 5.408 0.000 6.666
Tb 10.193 0.000 2.954
Tb 12.165 0.000 8.645
Ce -1.416 0.000 4.810
Th 1.974 0.000 5.758
Th 6.822 0.000 1.975
Th 8.778 0.000 7.644
Th 13.626 0.000 3.861
```

No. 9
The following is a PBE-GGA calculation of a geometry-optimized NaLa5Tl4 structure, from the Alexandria database.

Summary:
Its total energy is -3.841 eV/atom. The formation energy from the elements is -299 meV/atom.

extended XYZ file:
```
10
Lattice="3.831 0.000 0.000 0.000 3.831 0.000 0.000 0.000 22.161" Properties=species:S:1:pos:R:3 pbc="T T T"
Na 0.000 0.000 0.000
La 1.916 1.916 2.577
La 1.916 1.916 6.782
La 1.916 1.916 11.081
La 1.916 1.916 15.380
La 1.916 1.916 19.585
Tl 0.000 0.000 4.564
Tl 0.000 0.000 8.916
Tl 0.000 0.000 13.245
Tl 0.000 0.000 17.598
```

No. 10
The following is a PBE-GGA calculation of a geometry-optimized PmMgZnIr structure, from the Alexandria database.

Summary:
Its total energy is -4.464 eV/atom. The formation energy from the elements is -344 meV/atom.

extended XYZ file:
```
4
Lattice="0.000 3.413 3.413 3.413 0.000 3.413 3.413 3.413 0.000" Properties=species:S:1:pos:R:3 pbc="T T T"
Pm 0.000 0.000 0.000
Mg 3.413 3.413 3.413
Zn 5.119 5.119 5.119
Ir 1.706 1.706 1.706
```

No. 11
The following is a PBE-GGA calculation of a geometry-optimized Zr2TaCo structure, from the Alexandria database.

Summary:
As for the energy above the most stable polymorph in this dataset: 0.000 eV/f.u. Its total energy is -9.097 eV/atom. The formation energy from the elements is -84 meV/atom.

extended XYZ file:
```
4
Lattice="3.111 0.000 0.000 0.000 3.111 0.000 0.000 0.000 7.680" Properties=species:S:1:pos:R:3 pbc="T T T"
Zr 0.000 0.000 0.000
Zr 1.555 1.555 2.401
Ta 0.000 0.000 4.508
Co 1.555 1.555 5.835
```

No. 12
The following is a PBE-GGA calculation of a geometry-optimized SrZnHg2Bi structure, from the Alexandria database.

Summary:
Its total energy is -1.704 eV/atom. The formation energy from the elements is -216 meV/atom.

extended XYZ file:
```
5
Lattice="5.170 0.000 0.000 0.000 5.170 0.000 0.000 0.000 5.787" Properties=species:S:1:pos:R:3 pbc="T T T"
Sr 0.000 0.000 0.000
Zn 2.585 2.585 2.894
Hg 0.000 2.585 2.894
Hg 2.585 0.000 2.894
Bi 2.585 2.585 0.000
```